[1]
Compound: NpSnAs2Ru5
Source: Alexandria
Functional: PBE
Structure: optimized geometry

abc: 4.1818 4.1818 8.7551
angles: 90.00 90.00 90.00
Element x y z (fractional)
1 Np 0.0000 0.0000 0.0000
2 Sn 0.0000 0.0000 0.5000
3 As 0.5000 0.5000 0.3566
4 As 0.5000 0.5000 0.6434
5 Ru 0.0000 0.5000 0.2137
6 Ru 0.0000 0.5000 0.7863
7 Ru 0.5000 0.0000 0.2137
8 Ru 0.5000 0.0000 0.7863
9 Ru 0.5000 0.5000 0.0000

Results
Symmetry: P4/mmm (123)
Uncorrected energy, eV per atom: -8.101
Density of states at the Fermi level, states/eV/f.u.: 4.371
Formation energy, meV/atom: -32

=====

[2]
Compound: Cs2SbH2
Source: Alexandria
Functional: PBE
Structure: optimized geometry

abc: 5.4508 5.4508 6.2604
angles: 107.68 107.68 77.86
Element x y z (fractional)
1 Cs 0.1932 0.1932 0.3019
2 Cs 0.8068 0.8068 0.6981
3 Sb 0.5000 0.5000 0.0000
4 H 0.2328 0.2328 0.8165
5 H 0.7672 0.7672 0.1835

Results
Symmetry: C2/m (12)
Uncorrected energy, eV per atom: -2.470
Density of states at the Fermi level, states/eV/f.u.: 4.486

=====

Question: Among the records above, which one has the highest density of states at the Fermi level?
Answer: Cs2SbH2